4
Lattice="-0.101 0.894 -4.287 2.770 -2.593 -2.189 -3.149 -0.829 2.930" Properties=species:S:1:pos:R:3 comment="PBE-GGA BeFe2Re, optimized geometry" density_g_cm3=11.40 crystal_system=tetragonal final_energy_ev_per_cell=-32.964 formation_enthalpy_0k_ev_per_atom=0.03 pbc="T T T"
Be -0.957 -0.392 -2.297
Re 0.478 -2.136 -1.248
Fe 0.000 0.000 0.000
Fe 1.335 -0.849 -3.238